[1]
Material: Sr2ZrBiH
Method: DFT, PBE
State: optimized geometry

Unit cell a=6.496 b=5.594 c=6.496 alpha=90.00 beta=90.00 gamma=90.00
Site moments in Bohr magnetons follow the coordinates.
Sites, in units of the cell vectors:
Sr 0.500 0.000 0.000  0.04
Sr 0.000 0.000 0.500  0.05
Zr 0.000 0.500 0.000  1.36
H 0.500 0.500 0.500  -0.01
Bi 0.000 0.000 0.000  -0.02

Output
The calculated total energy is -15.880 eV per formula unit. The density of states at the Fermi level is 5.9 states/eV/cell. The calculation puts the density at 3.4 g/cm3. The total magnetization is 0.57 μB/atom. Its space group is P4/mmm, No. 123.

=====

[2]
Material: MnNbGa2
Method: DFT, PBE
State: optimized geometry

Unit cell a=2.899 b=2.899 c=8.879 alpha=80.60 beta=80.60 gamma=60.00
Site moments in Bohr magnetons follow the coordinates.
Sites, in units of the cell vectors:
Ga 0.089 0.089 0.734  -0.06
Ga 0.245 0.245 0.265  -0.06
Nb 0.666 0.666 0.002  -0.02
Mn 0.500 0.500 0.499  2.82

Output
The calculated total energy is -25.535 eV per formula unit. The density of states at the Fermi level is 3.4 states/eV/cell. The calculation puts the density at 7.5 g/cm3. As for the formation energy: -0.06 eV/atom. The total magnetization is 0.68 μB/atom. Its space group is R3m, No. 160.

=====

[3]
Material: PrDyZn
Method: DFT, PBE
State: optimized geometry

Unit cell a=5.043 b=5.043 c=5.043 alpha=89.91 beta=120.06 gamma=120.05
Sites, in units of the cell vectors:
Pr 0.944 0.472 0.417
Zn 0.445 0.222 0.667
Dy 0.944 0.972 0.917

Output
The calculated total energy is -10.564 eV per formula unit. The density of states at the Fermi level is 4.5 states/eV/cell. The calculation puts the density at 6.8 g/cm3. As for the formation energy: 0.03 eV/atom. The total magnetization is 0.00 μB/atom. The energy relative to the lowest polymorph listed for this composition is 0.69 eV/f.u. Its space group is F-43m, No. 216.

=====

[4]
Material: Hf7Tl2Zn2
Method: DFT, PBE
State: optimized geometry

Unit cell a=7.647 b=7.488 c=5.571 alpha=63.92 beta=122.30 gamma=105.56
Sites, in units of the cell vectors:
Tl 0.235 0.459 0.252
Tl 0.765 0.541 0.748
Hf 0.603 0.689 0.057
Hf 0.429 0.860 0.337
Hf 0.571 0.140 0.663
Hf 0.127 0.670 0.601
Hf 0.397 0.311 0.943
Hf 0.000 0.000 0.000
Hf 0.873 0.330 0.399
Zn 0.194 0.032 0.655
Zn 0.806 0.968 0.345

Output
The calculated total energy is -74.961 eV per formula unit. The density of states at the Fermi level is 11.1 states/eV/cell. The calculation puts the density at 12.3 g/cm3. As for the formation energy: 0.18 eV/atom. The total magnetization is 0.00 μB/atom. Its space group is P-1, No. 2.

=====

[5]
Material: Ag5P
Method: DFT, PBE
State: optimized geometry

Unit cell a=6.593 b=6.593 c=4.047 alpha=90.00 beta=90.00 gamma=143.50
Sites, in units of the cell vectors:
Ag 0.835 0.165 0.000
Ag 0.335 0.665 0.500
Ag 0.165 0.835 0.000
Ag 0.000 0.000 0.500
Ag 0.665 0.335 0.500
P 0.500 0.500 0.000

Output
The calculated total energy is -18.798 eV per formula unit. The density of states at the Fermi level is 1.5 states/eV/cell. The calculation puts the density at 9.1 g/cm3. As for the formation energy: 0.14 eV/atom. The total magnetization is 0.00 μB/atom. The energy relative to the lowest polymorph listed for this composition is 0.00 eV/f.u. Its space group is Cmmm, No. 65.

=====

[6]
Material: Sr2YPbO6
Method: DFT, PBE
State: optimized geometry

Unit cell a=5.991 b=6.138 c=8.524 alpha=90.00 beta=90.25 gamma=90.00
Site moments in Bohr magnetons follow the coordinates.
Sites, in units of the cell vectors:
O 0.104 0.458 0.754  0.17
O 0.791 0.795 0.554  0.14
O 0.201 0.211 0.056  0.15
O 0.709 0.295 0.946  0.14
O 0.291 0.705 0.054  0.14
O 0.299 0.711 0.444  0.15
O 0.209 0.205 0.446  0.14
O 0.604 0.042 0.254  0.17
O 0.799 0.789 0.944  0.15
O 0.896 0.542 0.246  0.17
O 0.396 0.958 0.746  0.17
O 0.701 0.289 0.556  0.15
Sr 0.485 0.452 0.250  0.00
Sr 0.015 0.952 0.250  0.00
Sr 0.515 0.548 0.750  0.00
Sr 0.985 0.048 0.750  0.00
Y 0.500 0.000 0.000  -0.01
Y 0.000 0.500 0.500  -0.01
Pb 0.000 0.500 0.000  -0.01
Pb 0.500 0.000 0.500  -0.01

Output
The uncorrected formation energy is -216.3 kJ per mole of atoms. The calculated total energy is -65.703 eV per formula unit. The density of states at the Fermi level is 21.3 states/eV/cell. The calculation puts the density at 6.0 g/cm3. The total magnetization is 0.11 μB/atom. Its space group is P2_1/c, No. 14.

=====

Question: Look up the total magnetization of the first one.
Answer: 0.57 μB/atom

=====

Question: Among the records above, which one has the lowest density of states at the Fermi level?
Answer: Ag5P